Entry 1:
# PuNi2AsN GGA-PBE relaxed
data_PuNi2AsN
_chemical_formula_sum 'Pu4 Ni8 As4 N4'
_symmetry_space_group_name_H-M 'C m c m'
_symmetry_Int_Tables_number 63
_symmetry_space_group_name_Hall '-C 2c 2'
_cell_length_a 3.5024
_cell_length_b 11.3958
_cell_length_c 6.8269
_cell_angle_alpha 90.00
_cell_angle_beta 90.00
_cell_angle_gamma 90.00
loop_
_atom_site_label
_atom_site_type_symbol
_atom_site_fract_x
_atom_site_fract_y
_atom_site_fract_z
Pu1 Pu 0.0000 0.0278 0.2500
Ni1 Ni 0.0000 0.3331 0.0533
As1 As 0.0000 0.2392 0.7500
N1 N 0.0000 0.5000 0.0000
# Total magnetic moment (μB per atom): 0.895
# Calculated total energy (eV per cell): -169.42



Entry 2:
# PuNiAsN GGA-PBE relaxed
data_PuNiAsN
_chemical_formula_sum 'Pu2 Ni2 As2 N2'
_symmetry_space_group_name_H-M 'P 4/n m m'
_symmetry_Int_Tables_number 129
_cell_length_a 3.8990
_cell_length_b 3.8990
_cell_length_c 8.0157
_cell_angle_alpha 90.00
_cell_angle_beta 90.00
_cell_angle_gamma 90.00
loop_
_symmetry_equiv_pos_as_xyz
'x,y,z'
'-x,-y,-z'
'-y+1/2,x,z'
'y+1/2,-x,-z'
'-x+1/2,-y+1/2,z'
'x+1/2,y+1/2,-z'
'y,-x+1/2,z'
'-y,x+1/2,-z'
'x+1/2,-y,-z'
'-x+1/2,y,z'
'-y,-x,-z'
'y,x,z'
'-x,y+1/2,-z'
'x,-y+1/2,z'
'y+1/2,x+1/2,-z'
'-y+1/2,-x+1/2,z'
loop_
_atom_site_label
_atom_site_type_symbol
_atom_site_fract_x
_atom_site_fract_y
_atom_site_fract_z
Pu1 Pu 0.2500 0.2500 0.1377
Ni1 Ni 0.2500 0.7500 0.5000
As1 As 0.2500 0.2500 0.6627
N1 N 0.2500 0.7500 0.0000
# Total magnetic moment (μB per atom): 1.050
# Calculated total energy (eV per cell): -73.36



Entry 3:
# NiAsSN2 GGA-PBE relaxed
data_NiAsSN2
_chemical_formula_sum 'Ni1 As1 S1 N2'
_symmetry_space_group_name_H-M 'P 4/m m m'
_symmetry_Int_Tables_number 123
_symmetry_space_group_name_Hall '-P 4 2'
_cell_length_a 3.5306
_cell_length_b 3.5306
_cell_length_c 6.1550
_cell_angle_alpha 90.00
_cell_angle_beta 90.00
_cell_angle_gamma 90.00
loop_
_atom_site_label
_atom_site_type_symbol
_atom_site_fract_x
_atom_site_fract_y
_atom_site_fract_z
Ni1 Ni 0.0000 0.0000 0.0000
As1 As 0.5000 0.5000 0.5000
S1 S 0.5000 0.5000 0.0000
N1 N 0.0000 0.5000 0.5000
# Total magnetic moment (μB per atom): 0.334
# Energy above the most stable polymorph in this dataset (meV per atom): 132



Entry 4:
# NiAsSN2 GGA-PBE relaxed
data_NiAsSN2
_chemical_formula_sum 'Ni1 As1 S1 N2'
_symmetry_space_group_name_H-M 'P 4/m m m'
_symmetry_Int_Tables_number 123
_symmetry_space_group_name_Hall '-P 4 2'
_cell_length_a 3.6978
_cell_length_b 3.6978
_cell_length_c 4.9123
_cell_angle_alpha 90.00
_cell_angle_beta 90.00
_cell_angle_gamma 90.00
loop_
_atom_site_label
_atom_site_type_symbol
_atom_site_fract_x
_atom_site_fract_y
_atom_site_fract_z
Ni1 Ni 0.0000 0.0000 0.0000
As1 As 0.5000 0.5000 0.5000
S1 S 0.0000 0.0000 0.5000
N1 N 0.0000 0.5000 0.0000
# Total magnetic moment (μB per atom): 0.537
# Energy above the most stable polymorph in this dataset (meV per atom): 0



Entry 5:
# SmNiAsN GGA-PBE relaxed
data_SmNiAsN
_chemical_formula_sum 'Sm2 Ni2 As2 N2'
_symmetry_space_group_name_H-M 'P 4/n m m'
_symmetry_Int_Tables_number 129
_cell_length_a 3.8081
_cell_length_b 3.8081
_cell_length_c 8.4304
_cell_angle_alpha 90.00
_cell_angle_beta 90.00
_cell_angle_gamma 90.00
loop_
_symmetry_equiv_pos_as_xyz
'x,y,z'
'-x,-y,-z'
'-y+1/2,x,z'
'y+1/2,-x,-z'
'-x+1/2,-y+1/2,z'
'x+1/2,y+1/2,-z'
'y,-x+1/2,z'
'-y,x+1/2,-z'
'x+1/2,-y,-z'
'-x+1/2,y,z'
'-y,-x,-z'
'y,x,z'
'-x,y+1/2,-z'
'x,-y+1/2,z'
'y+1/2,x+1/2,-z'
'-y+1/2,-x+1/2,z'
loop_
_atom_site_label
_atom_site_type_symbol
_atom_site_fract_x
_atom_site_fract_y
_atom_site_fract_z
Sm1 Sm 0.2500 0.2500 0.1562
Ni1 Ni 0.2500 0.7500 0.5000
As1 As 0.2500 0.2500 0.6535
N1 N 0.2500 0.2500 0.8802
# Total magnetic moment (μB per atom): 0.000
# Calculated total energy (eV per cell): -53.52



Entry 6:
# SmNi2AsN GGA-PBE relaxed
data_SmNi2AsN
_chemical_formula_sum 'Sm4 Ni8 As4 N4'
_symmetry_space_group_name_H-M 'C m c m'
_symmetry_Int_Tables_number 63
_symmetry_space_group_name_Hall '-C 2c 2'
_cell_length_a 3.5824
_cell_length_b 11.4399
_cell_length_c 6.8949
_cell_angle_alpha 90.00
_cell_angle_beta 90.00
_cell_angle_gamma 90.00
loop_
_atom_site_label
_atom_site_type_symbol
_atom_site_fract_x
_atom_site_fract_y
_atom_site_fract_z
Sm1 Sm 0.0000 0.0324 0.2500
Ni1 Ni 0.0000 0.3347 0.0502
As1 As 0.0000 0.2353 0.7500
N1 N 0.0000 0.5000 0.0000
# Total magnetic moment (μB per atom): 0.000
# Calculated total energy (eV per cell): -132.27



Entry 7:
# Sr2Ni2As2N GGA-PBE relaxed
data_Sr2Ni2As2N
_chemical_formula_sum 'Sr4 Ni4 As4 N2'
_symmetry_space_group_name_H-M 'C 1 2/m 1'
_symmetry_Int_Tables_number 12
_symmetry_space_group_name_Hall '-C 2y'
_cell_length_a 11.6529
_cell_length_b 4.0128
_cell_length_c 7.1018
_cell_angle_alpha 90.00
_cell_angle_beta 126.21
_cell_angle_gamma 90.00
loop_
_atom_site_label
_atom_site_type_symbol
_atom_site_fract_x
_atom_site_fract_y
_atom_site_fract_z
Sr1 Sr 0.0536 0.0000 0.2931
Ni1 Ni 0.1798 0.5000 0.0821
As1 As 0.1866 0.5000 0.7496
N1 N 0.0000 0.5000 0.0000
# Total magnetic moment (μB per atom): 0.000
# Calculated total energy (eV per cell): -74.38



Entry 8:
# TbNi2AsN GGA-PBE relaxed
data_TbNi2AsN
_chemical_formula_sum 'Tb4 Ni8 As4 N4'
_symmetry_space_group_name_H-M 'C m c m'
_symmetry_Int_Tables_number 63
_symmetry_space_group_name_Hall '-C 2c 2'
_cell_length_a 3.4900
_cell_length_b 11.5741
_cell_length_c 6.8274
_cell_angle_alpha 90.00
_cell_angle_beta 90.00
_cell_angle_gamma 90.00
loop_
_atom_site_label
_atom_site_type_symbol
_atom_site_fract_x
_atom_site_fract_y
_atom_site_fract_z
Tb1 Tb 0.0000 0.0277 0.2500
Ni1 Ni 0.0000 0.3364 0.0485
As1 As 0.0000 0.2378 0.7500
N1 N 0.0000 0.5000 0.0000
# Total magnetic moment (μB per atom): 0.000
# Calculated total energy (eV per cell): -132.47



> Number 6 is which compound?

SmNi2AsN



> Among the records above, which one has the highest total magnetic moment?

PuNiAsN



> Among the records above, which one has the highest total magnetic moment?

PuNiAsN



> Among the records above, which one has the highest total magnetic moment?

PuNiAsN